A plane-wave DFT calculation with PBE was carried out for a relaxed structure of AcPmRh.

Cell: 7.800 7.800 7.319 Å, 116.65 116.65 31.59°
Fractional coordinates of all 6 atoms:
1 Ac 0.126 0.126 0.305
2 Ac 0.874 0.874 0.695
3 Pm 0.358 0.358 0.195
4 Pm 0.642 0.642 0.805
5 Rh 0.254 0.254 0.756
6 Rh 0.746 0.746 0.244

Properties
**E above lowest polymorph**: 5 meV/atom
**Energy relative to the elements**: -0.503 eV per atom


A plane-wave DFT calculation with PBE was carried out for a relaxed structure of AcPm6Rh4.

Cell: 7.617 7.617 7.617 Å, 121.26 121.26 87.83°
Fractional coordinates of all 11 atoms:
1 Ac 0.000 0.000 0.000
2 Pm 0.000 0.500 0.500
3 Pm 0.121 0.462 0.000
4 Pm 0.462 0.121 0.000
5 Pm 0.500 0.000 0.500
6 Pm 0.538 0.538 0.658
7 Pm 0.879 0.879 0.342
8 Rh 0.247 0.247 0.623
9 Rh 0.376 0.753 0.000
10 Rh 0.624 0.624 0.377
11 Rh 0.753 0.376 0.000

Properties
**Energy relative to the elements**: -0.468 eV per atom


Number 1: mass density 7.6 g/cm³, E_tot -35.44 eV for the cell shown, DOS at the Fermi energy 0.9206 states/eV/atom. Number 2: mass density 8.2 g/cm³, E_tot -67.17 eV for the cell shown, DOS at the Fermi energy 0.7246 states/eV/atom.